[1]
Entry from Alexandria via LeMat-Bulk: PmLuTlSb after structural relaxation (PBE).

abc: 7.619 7.619 7.619
angles: 90.00 90.00 90.00
Space group F-43m (No. 216)
Unique sites:
Pm1 0.000 0.000 0.000 [4 per cell]
Lu1 0.000 0.000 0.500 [4 per cell]
Tl1 0.250 0.250 0.250 [4 per cell]
Sb1 0.250 0.250 0.750 [4 per cell]

[2]
Entry from Alexandria via LeMat-Bulk: PmLuZnSb after structural relaxation (PBE).

abc: 7.392 7.392 7.392
angles: 90.00 90.00 90.00
Space group F-43m (No. 216)
Unique sites:
Pm1 0.000 0.000 0.000 [4 per cell]
Lu1 0.000 0.000 0.500 [4 per cell]
Zn1 0.250 0.250 0.250 [4 per cell]
Sb1 0.250 0.250 0.750 [4 per cell]

It is found that the E values, taken in the order of the records, are -70.75, -66.60 eV/cell.